1.
A plane-wave DFT calculation with GGA-PBE was carried out for a relaxed FePd2Rh crystal.

Lattice parameters (Å, degrees): 6.092 6.092 6.092 90.00 90.00 90.00
Space group Fm-3m (No. 225)
Asymmetric unit:
Fe (0.000, 0.000, 0.000) (multiplicity 4)
Pd (0.250, 0.250, 0.250) (multiplicity 8)
Rh (0.000, 0.000, 0.500) (multiplicity 4)

Calculated values
total moment = 0.00 μB per formula unit
VASP energy = -6.125 eV/atom



2.
A plane-wave DFT calculation with GGA-PBE was carried out for a relaxed SrMgNF2 crystal.

Lattice parameters (Å, degrees): 4.489 4.489 5.114 90.00 90.00 90.00
Space group P4/mmm (No. 123)
Asymmetric unit:
Sr (0.000, 0.000, 0.000) (multiplicity 1)
Mg (0.500, 0.500, 0.500) (multiplicity 1)
N (0.000, 0.000, 0.500) (multiplicity 1)
F (0.000, 0.500, 0.000) (multiplicity 2)

Calculated values
total moment = 1.01 μB per formula unit
energy relative to the elements, uncorrected = -118 kJ/mol of atoms
VASP energy = -4.292 eV/atom



3.
A plane-wave DFT calculation with GGA-PBE was carried out for a relaxed K2Fe2Br7 crystal.

Lattice parameters (Å, degrees): 10.356 12.930 6.848 90.00 99.84 90.00
Space group C2/m (No. 12)
Asymmetric unit:
K (0.000, 0.204, 0.000) (multiplicity 4)
Fe (0.223, 0.500, 0.423) (multiplicity 4)
Br (0.000, 0.500, 0.500) (multiplicity 2)
Br (0.130, 0.000, 0.271) (multiplicity 4)
Br (0.244, 0.347, 0.238) (multiplicity 8)

Calculated values
total moment = 9.00 μB per formula unit
energy relative to the elements, uncorrected = -90 kJ/mol of atoms
VASP energy = -3.735 eV/atom



4.
A plane-wave DFT calculation with GGA-PBE was carried out for a relaxed TcHC2I crystal.

Lattice parameters (Å, degrees): 3.880 3.880 5.758 90.00 90.00 90.00
Space group P4/mmm (No. 123)
Asymmetric unit:
Tc (0.000, 0.000, 0.000) (multiplicity 1)
H (0.500, 0.500, 0.500) (multiplicity 1)
C (0.000, 0.500, 0.000) (multiplicity 2)
I (0.000, 0.000, 0.500) (multiplicity 1)

Calculated values
total moment = 0.00 μB per formula unit
VASP energy = -5.144 eV/atom



5.
A plane-wave DFT calculation with GGA-PBE was carried out for a relaxed LiHfB12 crystal.

Lattice parameters (Å, degrees): 4.070 4.070 8.183 90.00 90.00 90.00
Space group P4/mmm (No. 123)
Asymmetric unit:
Li (0.000, 0.000, 0.000) (multiplicity 1)
Hf (0.000, 0.000, 0.500) (multiplicity 1)
B (0.199, 0.500, 0.254) (multiplicity 8)
B (0.500, 0.500, 0.102) (multiplicity 2)
B (0.500, 0.500, 0.403) (multiplicity 2)

Calculated values
total moment = 0.00 μB per formula unit
VASP energy = -6.615 eV/atom



6.
A plane-wave DFT calculation with GGA-PBE was carried out for a relaxed Th2Mg6Sc crystal.

Lattice parameters (Å, degrees): 9.0440 9.0440 3.2686 90.00 90.00 120.00
Space group P6/mmm (No. 191)
Asymmetric unit:
Th (0.3333, 0.6667, 0.0000) (multiplicity 2)
Mg (0.0000, 0.3257, 0.5000) (multiplicity 6)
Sc (0.0000, 0.0000, 0.0000) (multiplicity 1)

Calculated values
total moment = 0.00 μB per formula unit
VASP energy = -3.396 eV/atom



| no. | volume (A^3/atom) |
| --- | --- |
| 1 | 14.13 |
| 2 | 20.61 |
| 3 | 41.07 |
| 4 | 17.33 |
| 5 | 9.68 |
| 6 | 25.73 |